Material: LiCeNp2Se5
Method: DFT, PBE-GGA
State: optimized geometry

Cell and atoms, written as POSCAR:
```
LiCeNp2Se5
1.0
-0.125 3.738 1.682
-7.707 -0.546 -4.363
-5.355 -4.711 10.073
Np Se Li Ce
4 10 2 2
Direct
0.124 0.249 0.302 Np
0.892 0.784 0.180 Np
0.108 0.217 0.680 Np
0.876 0.753 0.803 Np
0.047 0.093 0.076 Se
0.288 0.577 0.669 Se
0.686 0.371 0.838 Se
0.501 0.002 0.280 Se
0.314 0.628 0.338 Se
0.953 0.906 0.576 Se
0.633 0.266 0.499 Se
0.367 0.734 0.999 Se
0.499 0.998 0.780 Se
0.711 0.423 0.169 Se
0.481 0.962 0.477 Li
0.519 0.039 0.977 Li
0.800 0.601 0.503 Ce
0.199 0.398 0.002 Ce
```

Output
crystal system	monoclinic
calculated total energy	-6.9594	eV per atom
size of the total moment	0.067	μB per atom
mass density	7.72	Mg/m³



Material: KMn2Au
Method: DFT, PBE-GGA
State: optimized geometry

Cell and atoms, written as POSCAR:
```
KMn2Au
1.0
-4.225 1.523 4.181
-0.927 -4.582 -2.719
0.749 -1.592 2.286
Mn K Au
2 1 1
Direct
0.000 0.000 0.000 Mn
0.000 0.500 0.500 Mn
0.500 0.000 0.500 K
0.500 0.500 0.000 Au
```

Output
formation energy	0.74	eV/atom
crystal system	monoclinic
size of the total moment	2.043	μB per atom
mass density	6.90	Mg/m³